Record 1
A plane-wave DFT calculation with GGA-PBEsol was carried out for a geometry-optimized Y5Mg24 structure.

a b c (Å): 9.681 9.681 9.681
angles (deg): 109.47 109.47 109.47
Fractional positions:
Mg: 0.676 0.676 0.287
Mg: 0.389 0.389 0.713
Mg: 0.611 0.324 0.000
Mg: 0.324 0.611 0.000
Mg: 0.000 0.324 0.611
Mg: 0.000 0.611 0.324
Mg: 0.713 0.389 0.389
Mg: 0.287 0.676 0.676
Mg: 0.324 0.000 0.611
Mg: 0.611 0.000 0.324
Mg: 0.676 0.287 0.676
Mg: 0.389 0.713 0.389
Mg: 0.191 0.191 0.820
Mg: 0.371 0.371 0.180
Mg: 0.629 0.809 0.000
Mg: 0.809 0.629 0.000
Mg: 0.000 0.809 0.629
Mg: 0.000 0.629 0.809
Mg: 0.180 0.371 0.371
Mg: 0.820 0.191 0.191
Mg: 0.809 0.000 0.629
Mg: 0.629 0.000 0.809
Mg: 0.191 0.820 0.191
Mg: 0.371 0.180 0.371
Y: 0.000 0.000 0.000
Y: 0.000 0.000 0.375
Y: 0.625 0.625 0.625
Y: 0.375 0.000 0.000
Y: 0.000 0.375 0.000

Results
As for the magnetization: 0.0 Bohr magnetons per cell. The calculation puts the density of states at the Fermi level at 20.02 states/eV per cell. The formation energy is -1.63 eV per formula unit.



Record 2
A plane-wave DFT calculation with GGA-PBEsol was carried out for a geometry-optimized Li4Mn3V3Ni2O16 structure.

a b c (Å): 5.644 5.600 9.566
angles (deg): 89.79 90.00 120.26
Fractional positions:
Li: 0.332 0.664 0.891
Li: 0.002 0.004 0.997
Li: 0.005 0.010 0.496
Li: 0.666 0.331 0.398
Mn: 0.172 0.343 0.216
Mn: 0.834 0.172 0.716
Mn: 0.339 0.172 0.716
V: 0.654 0.828 0.210
V: 0.174 0.828 0.210
V: 0.829 0.658 0.708
Ni: 0.334 0.668 0.490
Ni: 0.667 0.333 0.986
O: 0.675 0.833 0.607
O: 0.482 0.963 0.334
O: 0.332 0.664 0.097
O: 0.001 0.002 0.311
O: 0.003 0.006 0.813
O: 0.159 0.833 0.607
O: 0.482 0.517 0.335
O: 0.036 0.517 0.335
O: 0.834 0.669 0.109
O: 0.163 0.327 0.608
O: 0.965 0.485 0.834
O: 0.520 0.485 0.834
O: 0.663 0.326 0.603
O: 0.835 0.161 0.108
O: 0.519 0.037 0.832
O: 0.326 0.161 0.108

Results
The formation energy without anion corrections is -52.3 eV per formula unit. As for the magnetization: 10.0 Bohr magnetons per cell. The calculation puts the density of states at the Fermi level at 6.95 states/eV per cell.